[1]
Material: Re2AgTe
Method: DFT, PBE
State: relaxed

It has space group F-43m (No. 216), with a = 6.551 Å, b = 6.551 Å, c = 6.551 Å, α = 90.00°, β = 90.00° and γ = 90.00°. Symmetry generates all atoms from Re at (0.000, 0.000, 0.000), Re at (0.250, 0.250, 0.250), Ag at (0.250, 0.250, 0.750) and Te at (0.000, 0.000, 0.500).

=====

[2]
Material: Re2Ag2Te
Method: DFT, PBE
State: relaxed

It has space group I4/mmm (No. 139), with a = 3.823 Å, b = 3.823 Å, c = 13.246 Å, α = 90.00°, β = 90.00° and γ = 90.00°. Symmetry generates all atoms from Re at (0.000, 0.000, 0.088), Ag at (0.000, 0.500, 0.250) and Te at (0.000, 0.000, 0.500).

=====

[3]
Material: ReAg2Te
Method: DFT, PBE
State: relaxed

It has space group P4/mmm (No. 123), with a = 3.775 Å, b = 3.775 Å, c = 5.419 Å, α = 90.00°, β = 90.00° and γ = 90.00°. Symmetry generates all atoms from Re at (0.000, 0.000, 0.000), Ag at (0.500, 0.500, 0.239) and Te at (0.000, 0.000, 0.500).

=====

[4]
Material: ReAgTe
Method: DFT, PBE
State: relaxed

It has space group Fmm2 (No. 42), with a = 3.185 Å, b = 5.131 Å, c = 15.144 Å, α = 90.00°, β = 90.00° and γ = 90.00°. Symmetry generates all atoms from Re at (0.000, 0.000, 0.000), Ag at (0.000, 0.000, 0.347) and Te at (0.000, 0.000, 0.640).

=====

[5]
Material: ReAg2Te
Method: DFT, PBE
State: relaxed

It has space group Cmmm (No. 65), with a = 3.424 Å, b = 4.624 Å, c = 9.961 Å, α = 90.00°, β = 90.00° and γ = 90.00°. Symmetry generates all atoms from Re at (0.000, 0.000, 0.000), Ag at (0.000, 0.500, 0.224) and Te at (0.000, 0.000, 0.500).

=====

[6]
Material: Re2AgTe
Method: DFT, PBE
State: relaxed

It has space group I-4m2 (No. 119), with a = 4.210 Å, b = 4.210 Å, c = 7.788 Å, α = 90.00°, β = 90.00° and γ = 90.00°. Symmetry generates all atoms from Re at (0.000, 0.000, 0.000), Re at (0.000, 0.500, 0.250), Ag at (0.000, 0.000, 0.500) and Te at (0.000, 0.500, 0.750).

=====

[7]
Material: ReAg2Te
Method: DFT, PBE
State: relaxed

It has space group P4/mmm (No. 123), with a = 2.891 Å, b = 2.891 Å, c = 9.680 Å, α = 90.00°, β = 90.00° and γ = 90.00°. Symmetry generates all atoms from Re at (0.000, 0.000, 0.000), Ag at (0.500, 0.500, 0.211) and Te at (0.000, 0.000, 0.500).

=====

[8]
Material: ReAg2Te
Method: DFT, PBE
State: relaxed

It has space group Imm2 (No. 44), with a = 3.058 Å, b = 4.540 Å, c = 12.569 Å, α = 90.00°, β = 90.00° and γ = 90.00°. Symmetry generates all atoms from Re at (0.000, 0.000, 0.000), Ag at (0.000, 0.000, 0.453), Ag at (0.000, 0.500, 0.305) and Te at (0.000, 0.500, 0.668).

=====

| no. | formation energy (no corrections) (kcal/mol of atoms) | E (eV/atom) | M_tot (μB/cell) |
| --- | --- | --- | --- |
| 1 | 22.195 | -6.760 | 0.00 |
| 2 | 24.911 | -5.668 | 0.00 |
| 3 | 20.634 | -4.428 | 0.00 |
| 4 | 20.438 | -5.261 | 0.00 |
| 5 | 16.612 | -4.603 | 0.00 |
| 6 | 22.140 | -6.762 | 0.00 |
| 7 | 16.852 | -4.592 | 0.00 |
| 8 | 15.733 | -4.641 | 0.00 |